# 1
LiMnOsAu2: single point on PBEsol structure, meta-GGA SCAN.

Summary:
The calculation puts the formation energy at 80.4 kJ per mole of atoms.

abc: 4.8148 4.8148 4.2952
angles: 90.00 90.00 90.00
Space group P4/mmm (No. 123)
Inequivalent atoms, fractional coordinates:
1 Li 0.0000 0.0000 0.0000 (multiplicity 1)
2 Mn 0.5000 0.5000 0.5000 (multiplicity 1)
3 Os 0.5000 0.5000 0.0000 (multiplicity 1)
4 Au 0.0000 0.5000 0.5000 (multiplicity 2)

# 2
Cs4SiTe4: single point on PBEsol structure, meta-GGA SCAN.

Summary:
The calculation puts the electronic total energy at -2554.02 eV for the cell shown.

abc: 14.9940 14.9940 14.9940
angles: 90.00 90.00 90.00
Space group P-43n (No. 218)
Inequivalent atoms, fractional coordinates:
1 Cs 0.0883 0.1327 0.6493 (multiplicity 24)
2 Cs 0.1495 0.1495 0.1495 (multiplicity 8)
3 Si 0.0000 0.0000 0.0000 (multiplicity 2)
4 Si 0.0000 0.5000 0.2500 (multiplicity 6)
5 Te 0.0936 0.3936 0.6583 (multiplicity 24)
6 Te 0.0971 0.0971 0.9029 (multiplicity 8)

# 3
Cr2IrCl: single point on PBEsol structure, meta-GGA SCAN.

Summary:
Its polymorph energy (0 for the lowest one) is 0.2257 eV per atom.

abc: 5.9059 5.9059 5.9059
angles: 90.00 90.00 90.00
Space group Fm-3m (No. 225)
Inequivalent atoms, fractional coordinates:
1 Cr 0.2500 0.2500 0.2500 (multiplicity 8)
2 Ir 0.0000 0.0000 0.0000 (multiplicity 4)
3 Cl 0.0000 0.0000 0.5000 (multiplicity 4)

# 4
HgIrRu: single point on PBEsol structure, meta-GGA SCAN.

Summary:
The calculation puts the formation energy at 57.4 kJ per mole of atoms. Its polymorph energy (0 for the lowest one) is 0.2109 eV per atom.

abc: 2.7516 4.8315 14.3641
angles: 90.00 90.00 90.00
Space group Fmm2 (No. 42)
Inequivalent atoms, fractional coordinates:
1 Hg 0.0000 0.0000 0.0000 (multiplicity 4)
2 Ir 0.0000 0.0000 0.3236 (multiplicity 4)
3 Ru 0.0000 0.0000 0.6732 (multiplicity 4)

# 5
Ca2FeTc: single point on PBEsol structure, meta-GGA SCAN.

Summary:
The calculation puts the formation energy at 78.3 kJ per mole of atoms.

abc: 2.8150 2.8150 9.3637
angles: 90.00 90.00 90.00
Space group P4/mmm (No. 123)
Inequivalent atoms, fractional coordinates:
1 Ca 0.0000 0.0000 0.2418 (multiplicity 2)
2 Fe 0.5000 0.5000 0.0000 (multiplicity 1)
3 Tc 0.5000 0.5000 0.5000 (multiplicity 1)

# 6
NaCrSe2: single point on PBEsol structure, meta-GGA SCAN.

Summary:
The calculation puts the electronic total energy at -264.46 eV for the cell shown.

abc: 6.8813 6.8813 8.1484
angles: 90.00 90.00 90.00
Space group I-42d (No. 122)
Inequivalent atoms, fractional coordinates:
1 Na 0.0000 0.0000 0.0000 (multiplicity 4)
2 Cr 0.0000 0.0000 0.5000 (multiplicity 4)
3 Se 0.1848 0.2500 0.6250 (multiplicity 8)